The following is a DFT calculation (PBE-GGA) of ErPd6Pt after structural relaxation.

Values from the calculation:
Spin magnetization (Bohr magnetons per cell): 0.0
Energy above the most stable polymorph in this dataset (eV per formula unit): 1.08
Volume (Å³/f.u.): 137
SG: No. 12
Electronic total energy (eV/cell): -44.17
Calculated formation energy (eV/atom): -0.30
Density (g/cm3): 12.12

Cell: 5.3999 5.3999 7.2379 Å, 109.87 109.87 118.98°
Closest atoms and distances in Å follow each position.
Atoms (fractional coordinates):
1 Er 0.0000 0.0000 0.0000  2 Pt 2.71, 6 Pd 2.96-3.00
2 Pd 0.2892 0.2892 0.7475  6 Pd 2.62-2.78, 1 Pt 2.71
3 Pd 0.6945 0.1929 0.2631  6 Pd 2.62-2.86, 1 Pt 2.79
4 Pd 0.7108 0.7108 0.2525  6 Pd 2.62-2.78, 1 Pt 2.71
5 Pd 0.8071 0.3055 0.7369  6 Pd 2.62-2.86, 1 Pt 2.79
6 Pd 0.3055 0.8071 0.7369  6 Pd 2.62-2.86, 1 Pt 2.79
7 Pd 0.1929 0.6945 0.2631  6 Pd 2.62-2.86, 1 Pt 2.79
8 Pt 0.5000 0.5000 0.5000  6 Pd 2.71-2.79, 2 Er 2.71